Entry 1:
This record from Alexandria describes Ta4HgBr7 after structural relaxation. The functional is PBE.

```
Ta4HgBr7
1.0
-1.832 4.383 -1.869
2.027 -3.310 -9.750
-13.763 -6.089 -0.794
Br Ta Hg
14 8 2
Direct
0.038 0.054 0.500
0.294 0.804 0.324
0.538 0.946 0.000
0.532 0.215 0.390
0.032 0.785 0.110
0.568 0.586 0.824
0.794 0.196 0.824
0.068 0.414 0.676
0.294 0.804 0.676
0.068 0.414 0.324
0.794 0.196 0.176
0.568 0.586 0.176
0.532 0.215 0.610
0.032 0.785 0.890
0.037 0.985 0.778
0.032 0.175 0.340
0.537 0.015 0.278
0.532 0.825 0.160
0.032 0.175 0.660
0.037 0.985 0.222
0.537 0.015 0.722
0.532 0.825 0.840
0.691 0.602 0.500
0.191 0.398 0.000
```

Summary:
* Fermi-level density of states: 0.47 states/eV per atom
* raw formation energy: -0.176 eV/atom
* symmetry: Pmn2_1
* DFT total energy: -5.1274 eV per atom

=====

Entry 2:
This record from Alexandria describes CaCu2Rh after structural relaxation. The functional is PBE.

```
CaCu2Rh
1.0
-0.756 4.014 1.201
-1.435 -1.395 3.758
7.064 1.854 5.798
Cu Rh Ca
4 2 2
Direct
0.987 0.625 0.250
0.763 0.125 0.250
0.875 0.013 0.750
0.375 0.237 0.750
0.750 0.250 0.500
0.000 0.000 0.000
0.250 0.750 0.500
0.500 0.500 0.000
```

Summary:
* Fermi-level density of states: 0.28 states/eV per atom
* symmetry: I-42d
* formation energy from the elements: 15 kJ/mol of atoms
* DFT total energy: -4.2268 eV per atom
* energy above the lowest structure with this stoichiometry: 0.308 eV/atom

=====

Entry 3:
This record from Alexandria describes BeMoOs2 after structural relaxation. The functional is PBE.

```
BeMoOs2
1.0
4.860 0.012 0.000
2.124 4.371 0.000
-3.492 -2.192 2.573
Os Mo Be
2 1 1
Direct
0.000 0.000 0.000
0.250 0.750 0.500
0.750 0.250 0.500
0.500 0.500 0.000
```

Summary:
* Fermi-level density of states: 0.54 states/eV per atom
* symmetry: I-4m2
* formation energy from the elements: 15 kJ/mol of atoms
* DFT total energy: -9.1019 eV per atom

=====

Entry 4:
This record from Alexandria describes Ac8Ni3Ru2 after structural relaxation. The functional is PBE.

```
Ac8Ni3Ru2
1.0
7.211 0.095 -0.055
-0.132 7.649 -4.142
0.161 -0.549 8.117
Ru Ni Ac
2 3 8
Direct
0.489 0.257 0.514
0.511 0.743 0.486
0.000 0.255 0.000
0.000 0.745 0.000
0.500 0.000 0.000
0.172 0.382 0.764
0.174 0.882 0.764
0.333 0.888 0.264
0.826 0.118 0.236
0.667 0.624 0.736
0.667 0.112 0.736
0.333 0.376 0.264
0.828 0.618 0.236
```

Summary:
* Fermi-level density of states: 0.67 states/eV per atom
* symmetry: C2/m
* formation energy from the elements: -17 kJ/mol of atoms
* DFT total energy: -5.4661 eV per atom

=====

Entry 5:
This record from Alexandria describes CsSn3Pb after structural relaxation. The functional is PBE.

```
CsSn3Pb
1.0
-4.790 -1.980 -3.082
2.986 -5.049 -1.397
-2.122 -2.636 4.991
Sn Pb Cs
3 1 1
Direct
0.500 0.000 0.000
0.000 0.500 0.000
0.000 0.000 0.500
0.000 0.000 0.000
0.500 0.500 0.500
```

Summary:
* Fermi-level density of states: 1.08 states/eV per atom
* symmetry: Pm-3m
* formation energy from the elements: 36 kJ/mol of atoms
* DFT total energy: -2.9384 eV per atom
* energy above the lowest structure with this stoichiometry: 0.474 eV/atom

=====

Entry 6:
This record from Alexandria describes TlCdPd2 after structural relaxation. The functional is PBE.

```
TlCdPd2
1.0
3.187 0.000 0.000
1.594 2.760 0.000
1.594 0.920 8.695
Pd Cd Tl
2 1 1
Direct
0.249 0.249 0.252
0.084 0.084 0.748
0.500 0.500 0.500
0.667 0.667 0.000
```

Summary:
* Fermi-level density of states: 0.32 states/eV per atom
* symmetry: R3m
* formation energy from the elements: -15 kJ/mol of atoms
* DFT total energy: -3.5761 eV per atom

=====

Entry 7:
This record from Alexandria describes Tm2AlGa4 after structural relaxation. The functional is PBE.

```
Tm2AlGa4
1.0
4.690 0.000 0.000
0.000 4.690 0.000
-2.345 -2.345 7.595
Tm Ga Al
2 4 1
Direct
0.814 0.814 0.628
0.186 0.186 0.372
0.000 0.500 0.000
0.622 0.622 0.244
0.378 0.378 0.756
0.500 0.000 0.000
0.000 0.000 0.000
```

Summary:
* Fermi-level density of states: 0.91 states/eV per atom
* symmetry: I4/mmm
* formation energy from the elements: 12 kJ/mol of atoms
* DFT total energy: -3.4135 eV per atom
* energy above the lowest structure with this stoichiometry: 0.528 eV/atom

=====

Entry 8:
This record from Alexandria describes Cs2MnSiSe4 after structural relaxation. The functional is PBE.

```
Cs2MnSiSe4
1.0
6.146 0.000 0.000
3.073 7.272 0.000
3.073 0.000 12.976
Se Si Cs Mn
8 2 4 2
Direct
0.320 0.817 0.101
0.863 0.817 0.899
0.430 0.683 0.399
0.580 0.183 0.101
0.238 0.183 0.899
0.887 0.683 0.601
0.512 0.317 0.601
0.170 0.317 0.399
0.250 0.500 0.500
0.500 0.000 0.000
0.179 0.000 0.643
0.821 0.000 0.357
0.571 0.500 0.857
0.929 0.500 0.143
0.750 0.500 0.500
0.000 0.000 0.000
```

Summary:
* raw formation energy: -0.890 eV/atom
* symmetry: Fddd
* DFT total energy: -4.6699 eV per atom